[1]
DFT (PBE) results for a geometry-optimized Tb4Pm15Er structure.

Summary:
- VASP energy: -94.07 eV/f.u.

Lattice parameters (Å, degrees): 5.132 5.132 25.575 90.00 90.00 90.00
Sites, in units of the cell vectors:
Tb  0.000  0.000  0.400
Tb  0.000  0.000  0.800
Tb  0.000  0.000  0.200
Tb  0.000  0.000  0.600
Er  0.000  0.000  0.000
Pm  0.500  0.500  0.801
Pm  0.500  0.000  0.099
Pm  0.500  0.500  0.400
Pm  0.500  0.000  0.500
Pm  0.000  0.500  0.700
Pm  0.000  0.500  0.099
Pm  0.500  0.000  0.700
Pm  0.500  0.500  0.000
Pm  0.500  0.000  0.901
Pm  0.500  0.500  0.600
Pm  0.000  0.500  0.500
Pm  0.500  0.000  0.300
Pm  0.500  0.500  0.199
Pm  0.000  0.500  0.901
Pm  0.000  0.500  0.300



[2]
DFT (PBE) results for a geometry-optimized Tb3Pm4Er4 structure.

Summary:
- Energy above the lowest structure with this stoichiometry: 0.0 meV/atom

Lattice parameters (Å, degrees): 3.511 5.651 18.170 81.07 84.45 89.99
Sites, in units of the cell vectors:
Pm  0.409  0.910  0.181
Pm  0.591  0.090  0.819
Pm  0.732  0.733  0.535
Pm  0.268  0.267  0.465
Tb  0.136  0.636  0.728
Tb  0.864  0.364  0.272
Tb  0.000  0.000  0.000
Er  0.546  0.545  0.909
Er  0.454  0.455  0.091
Er  0.681  0.181  0.639
Er  0.319  0.820  0.361



[3]
DFT (PBE) results for a geometry-optimized TbPm2Er7 structure.

Summary:
- Energy above the lowest structure with this stoichiometry: 140.3 meV/atom

Lattice parameters (Å, degrees): 3.504 14.681 14.681 154.67 90.00 90.00
Sites, in units of the cell vectors:
Er  0.500  0.345  0.148
Er  0.000  0.816  0.184
Er  0.500  0.852  0.655
Er  0.500  0.148  0.345
Er  0.000  0.184  0.816
Er  0.500  0.655  0.852
Er  0.500  0.500  0.500
Pm  0.500  0.708  0.292
Pm  0.500  0.292  0.708
Tb  0.000  0.000  0.000



[4]
DFT (PBE) results for a geometry-optimized TbPmEr structure.

Summary:
- Energy above the lowest structure with this stoichiometry: 0.0 meV/atom

Lattice parameters (Å, degrees): 3.573 3.573 8.730 90.00 90.00 120.00
Sites, in units of the cell vectors:
Er  0.791  0.772  0.778
Tb  0.124  0.439  0.452
Pm  0.458  0.105  0.112



[5]
DFT (PBE) results for a geometry-optimized Tb8PmEr2 structure.

Summary:
- Energy above the lowest structure with this stoichiometry: 0.0 meV/atom

Lattice parameters (Å, degrees): 5.530 8.143 9.334 115.86 107.19 90.00
Sites, in units of the cell vectors:
Er  0.200  0.700  0.399
Er  0.800  0.300  0.601
Tb  0.164  0.164  0.328
Tb  0.639  0.433  0.277
Tb  0.639  0.844  0.277
Tb  0.000  0.705  0.000
Tb  0.361  0.156  0.723
Tb  0.836  0.836  0.672
Tb  0.000  0.295  0.000
Tb  0.361  0.567  0.723
Pm  0.500  0.000  0.000



[6]
DFT (PBE) results for a geometry-optimized Tb2Pm12Er5 structure.

Summary:
- Energy above the lowest structure with this stoichiometry: 14.1 meV/atom

Lattice parameters (Å, degrees): 9.376 9.383 8.400 89.80 90.00 119.98
Sites, in units of the cell vectors:
Pm  0.828  0.217  0.621
Pm  0.162  0.324  0.871
Pm  0.394  0.366  0.221
Pm  0.028  0.634  0.779
Pm  0.606  0.634  0.779
Pm  0.612  0.783  0.379
Pm  0.550  0.101  0.289
Pm  0.172  0.783  0.379
Pm  0.450  0.899  0.711
Pm  0.388  0.217  0.621
Pm  0.838  0.676  0.129
Pm  0.972  0.366  0.221
Er  0.647  0.293  0.939
Er  0.250  0.500  0.536
Er  0.353  0.707  0.061
Er  0.750  0.500  0.464
Er  0.000  0.000  0.500
Tb  0.781  0.000  0.000
Tb  0.219  0.000  0.000